No. 1
Here is a relaxed LiCaSc2Ti crystal from the Alexandria database. Energies are from PBE.

Size of the total moment, μB/cell: 0.0
Energy of formation from the pure elements, meV per atom: 853.8
Calculated density, g/cm3: 2.390
VASP energy, eV per atom: -4.041

abc: 5.036 5.062 5.036
angles: 90.00 90.00 90.00
Element x y z (fractional)
Li (0.000, 0.000, 0.000)
Ti (0.500, 0.500, 0.500)
Sc (0.500, 0.000, 0.000)
Ca (0.000, 0.500, 0.000)
Sc (0.000, 0.000, 0.500)



No. 2
Here is a relaxed LiCaScTl2 crystal from the Alexandria database. Energies are from PBE.

Size of the total moment, μB/cell: 0.0
Energy of formation from the pure elements, meV per atom: 134.7
Calculated density, g/cm3: 6.549
VASP energy, eV per atom: -2.861

abc: 5.032 5.013 5.032
angles: 90.00 90.00 90.00
Element x y z (fractional)
Ca (0.000, 0.500, 0.000)
Li (0.000, 0.000, 0.000)
Tl (0.000, 0.000, 0.500)
Sc (0.500, 0.500, 0.500)
Tl (0.500, 0.000, 0.000)